A geometry-optimized CaH3Ru structure, computed with PBE-GGA.

a b c (Å): 3.907 3.907 3.907
angles (deg): 92.25 92.25 92.25
Sites, in units of the cell vectors:
Ca 0.000 0.000 0.000
H 0.187 0.187 0.535
H 0.187 0.535 0.187
H 0.535 0.187 0.187
Ru 0.477 0.477 0.477

Values from the calculation:
E in eV/cell: -20.9
Space group: No. 160
Crystal system: trigonal



A geometry-optimized CaH3Ru structure, computed with PBE-GGA.

a b c (Å): 9.983 9.983 9.983
angles (deg): 161.19 161.19 26.72
Sites, in units of the cell vectors:
Ca 0.000 0.000 0.000
Ca 0.750 0.250 0.500
H 0.329 0.329 0.000
H 0.353 0.116 0.237
H 0.671 0.671 0.000
H 0.879 0.116 0.763
H 0.884 0.121 0.237
H 0.884 0.647 0.763
Ru 0.130 0.630 0.500
Ru 0.370 0.870 0.500

Values from the calculation:
E in eV/cell: -42.5
Space group: No. 119
Crystal system: tetragonal



A geometry-optimized CaH3Ru structure, computed with PBE-GGA.

a b c (Å): 5.971 5.971 6.078
angles (deg): 105.57 105.57 30.12
Sites, in units of the cell vectors:
Ca 0.095 0.095 0.307
Ca 0.905 0.905 0.693
H 0.098 0.098 0.687
H 0.178 0.178 0.000
H 0.306 0.306 0.435
H 0.694 0.694 0.565
H 0.822 0.822 0.000
H 0.902 0.902 0.313
Ru 0.336 0.336 0.182
Ru 0.664 0.664 0.818

Values from the calculation:
E in eV/cell: -44.2
Space group: No. 12
Crystal system: monoclinic



A geometry-optimized CaH3Ru structure, computed with PBE-GGA.

a b c (Å): 6.099 6.099 5.846
angles (deg): 100.02 100.02 101.31
Sites, in units of the cell vectors:
Ca 0.084 0.916 0.750
Ca 0.341 0.659 0.250
Ca 0.659 0.341 0.750
Ca 0.916 0.084 0.250
H 0.028 0.777 0.352
H 0.064 0.570 0.863
H 0.223 0.972 0.148
H 0.309 0.317 0.899
H 0.317 0.309 0.399
H 0.430 0.936 0.637
H 0.570 0.064 0.363
H 0.683 0.691 0.601
H 0.691 0.683 0.101
H 0.777 0.028 0.852
H 0.936 0.430 0.137
H 0.972 0.223 0.648
Ru 0.181 0.451 0.658
Ru 0.451 0.181 0.158
Ru 0.549 0.819 0.842
Ru 0.819 0.549 0.342

Values from the calculation:
E in eV/cell: -90.1
Space group: No. 15
Crystal system: monoclinic



A geometry-optimized CaHRu2 structure, computed with PBE-GGA.

a b c (Å): 4.396 4.396 4.396
angles (deg): 60.00 60.00 60.00
Sites, in units of the cell vectors:
Ca 0.000 0.000 0.000
H 0.500 0.500 0.500
Ru 0.250 0.250 0.250
Ru 0.750 0.750 0.750

Values from the calculation:
E in eV/cell: -18.6
Space group: No. 225
Crystal system: cubic



A geometry-optimized CaH3Ru structure, computed with PBE-GGA.

a b c (Å): 6.030 6.030 5.552
angles (deg): 106.04 106.04 34.31
Sites, in units of the cell vectors:
Ca 0.100 0.100 0.318
Ca 0.900 0.900 0.682
H 0.151 0.151 0.908
H 0.316 0.316 0.435
H 0.472 0.472 0.286
H 0.528 0.528 0.714
H 0.684 0.684 0.565
H 0.849 0.849 0.092
Ru 0.326 0.326 0.142
Ru 0.674 0.674 0.858

Values from the calculation:
E in eV/cell: -44.8
Space group: No. 12
Crystal system: monoclinic



A geometry-optimized CaH3Ru structure, computed with PBE-GGA.

a b c (Å): 3.403 3.403 10.107
angles (deg): 90.00 90.00 120.00
Sites, in units of the cell vectors:
Ca 0.000 0.000 0.000
Ca 0.000 0.000 0.500
H 0.000 0.000 0.250
H 0.000 0.000 0.750
H 0.333 0.667 0.084
H 0.333 0.667 0.416
H 0.667 0.333 0.584
H 0.667 0.333 0.916
Ru 0.333 0.667 0.250
Ru 0.667 0.333 0.750

Values from the calculation:
E in eV/cell: -45.0
Space group: No. 194
Crystal system: hexagonal



A geometry-optimized CaH3Ru structure, computed with PBE-GGA.

a b c (Å): 4.957 4.957 5.768
angles (deg): 115.52 115.52 60.12
Sites, in units of the cell vectors:
Ca 0.000 0.000 0.000
Ca 0.208 0.208 0.627
H 0.187 0.695 0.579
H 0.545 0.545 0.066
H 0.546 0.974 0.067
H 0.694 0.694 0.578
H 0.695 0.187 0.579
H 0.974 0.546 0.067
Ru 0.603 0.603 0.809
Ru 0.784 0.784 0.355

Values from the calculation:
E in eV/cell: -45.0
Space group: No. 8
Crystal system: monoclinic



A geometry-optimized CaH3Ru structure, computed with PBE-GGA.

a b c (Å): 5.615 5.615 5.615
angles (deg): 51.96 51.96 51.96
Sites, in units of the cell vectors:
Ca 0.108 0.108 0.108
Ca 0.892 0.892 0.892
H 0.080 0.579 0.579
H 0.421 0.421 0.920
H 0.421 0.920 0.421
H 0.579 0.080 0.579
H 0.579 0.579 0.080
H 0.920 0.421 0.421
Ru 0.328 0.328 0.328
Ru 0.672 0.672 0.672

Values from the calculation:
E in eV/cell: -45.4
Space group: No. 166
Crystal system: trigonal



A geometry-optimized CaH3Ru structure, computed with PBE-GGA.

a b c (Å): 3.093 3.093 5.021
angles (deg): 90.00 90.00 90.00
Sites, in units of the cell vectors:
Ca 0.000 0.000 0.000
H 0.000 0.000 0.565
H 0.000 0.500 0.329
H 0.500 0.000 0.329
Ru 0.500 0.500 0.505

Values from the calculation:
E in eV/cell: -21.4
Space group: No. 99
Crystal system: tetragonal



A geometry-optimized CaH3Ru structure, computed with PBE-GGA.

a b c (Å): 3.082 4.933 4.933
angles (deg): 61.25 90.00 90.00
Sites, in units of the cell vectors:
Ca 0.000 0.000 0.000
H 0.000 0.133 0.507
H 0.000 0.507 0.133
H 0.500 0.165 0.165
Ru 0.500 0.351 0.351

Values from the calculation:
E in eV/cell: -21.4
Space group: No. 38
Crystal system: orthorhombic



A geometry-optimized CaH3Ru structure, computed with PBE-GGA.

a b c (Å): 4.885 4.885 5.359
angles (deg): 90.00 90.00 120.00
Sites, in units of the cell vectors:
Ca 0.333 0.667 0.250
Ca 0.667 0.333 0.750
H 0.147 0.294 0.750
H 0.147 0.853 0.750
H 0.294 0.147 0.250
H 0.706 0.853 0.750
H 0.853 0.147 0.250
H 0.853 0.706 0.250
Ru 0.000 0.000 0.000
Ru 0.000 0.000 0.500

Values from the calculation:
E in eV/cell: -46.1
Space group: No. 194
Crystal system: hexagonal



A geometry-optimized CaH7Ru2 structure, computed with PBE-GGA.

a b c (Å): 5.321 5.321 3.296
angles (deg): 90.00 90.00 119.36
Sites, in units of the cell vectors:
Ca 0.000 0.000 0.000
H 0.040 0.332 0.500
H 0.332 0.040 0.500
H 0.375 0.625 0.000
H 0.500 0.500 0.500
H 0.625 0.375 0.000
H 0.668 0.960 0.500
H 0.960 0.668 0.500
Ru 0.312 0.688 0.500
Ru 0.688 0.312 0.500

Values from the calculation:
E in eV/cell: -45.3
Space group: No. 65
Crystal system: orthorhombic



A geometry-optimized Ca3HRu structure, computed with PBE-GGA.

a b c (Å): 5.403 5.403 5.403
angles (deg): 90.00 90.00 90.00
Sites, in units of the cell vectors:
Ca 0.000 0.000 0.500
Ca 0.000 0.500 0.000
Ca 0.500 0.000 0.000
H 0.500 0.500 0.500
Ru 0.000 0.000 0.000

Values from the calculation:
E in eV/cell: -16.3
Space group: No. 221
Crystal system: cubic



A geometry-optimized Ca2HRu structure, computed with PBE-GGA.

a b c (Å): 4.806 4.806 4.806
angles (deg): 60.00 60.00 60.00
Sites, in units of the cell vectors:
Ca 0.250 0.250 0.250
Ca 0.750 0.750 0.750
H 0.000 0.000 0.000
Ru 0.500 0.500 0.500

Values from the calculation:
E in eV/cell: -14.9
Space group: No. 225
Crystal system: cubic



A geometry-optimized CaH8Ru2 structure, computed with PBE-GGA.

a b c (Å): 5.148 5.148 3.460
angles (deg): 90.00 90.00 115.78
Sites, in units of the cell vectors:
Ca 0.000 0.000 0.000
H 0.036 0.330 0.500
H 0.280 0.720 0.000
H 0.330 0.036 0.500
H 0.500 0.500 0.256
H 0.500 0.500 0.744
H 0.670 0.964 0.500
H 0.720 0.280 0.000
H 0.964 0.670 0.500
Ru 0.321 0.679 0.500
Ru 0.679 0.321 0.500

Values from the calculation:
E in eV/cell: -48.9
Space group: No. 65
Crystal system: orthorhombic



A geometry-optimized CaH3Ru structure, computed with PBE-GGA.

a b c (Å): 3.626 3.626 3.626
angles (deg): 90.00 90.00 90.00
Sites, in units of the cell vectors:
Ca 0.000 0.000 0.000
H 0.000 0.500 0.500
H 0.500 0.000 0.500
H 0.500 0.500 0.000
Ru 0.500 0.500 0.500

Values from the calculation:
E in eV/cell: -23.6
Space group: No. 221
Crystal system: cubic



A geometry-optimized CaH3Ru structure, computed with PBE-GGA.

a b c (Å): 6.338 6.338 4.941
angles (deg): 90.00 90.00 106.18
Sites, in units of the cell vectors:
Ca 0.115 0.385 0.250
Ca 0.385 0.115 0.750
Ca 0.615 0.885 0.250
Ca 0.885 0.615 0.750
H 0.055 0.945 0.877
H 0.139 0.361 0.750
H 0.238 0.762 0.496
H 0.262 0.738 0.996
H 0.361 0.139 0.250
H 0.445 0.555 0.377
H 0.555 0.445 0.623
H 0.639 0.861 0.750
H 0.738 0.262 0.004
H 0.762 0.238 0.504
H 0.861 0.639 0.250
H 0.945 0.055 0.123
Ru 0.110 0.890 0.233
Ru 0.390 0.610 0.733
Ru 0.610 0.390 0.267
Ru 0.890 0.110 0.767

Values from the calculation:
E in eV/cell: -91.4
Space group: No. 64
Crystal system: orthorhombic



A geometry-optimized CaH3Ru structure, computed with PBE-GGA.

a b c (Å): 6.440 6.440 5.145
angles (deg): 96.94 96.94 86.44
Sites, in units of the cell vectors:
Ca 0.065 0.322 0.248
Ca 0.322 0.065 0.748
Ca 0.678 0.935 0.252
Ca 0.935 0.678 0.752
H 0.013 0.252 0.806
H 0.205 0.620 0.530
H 0.252 0.013 0.306
H 0.306 0.493 0.038
H 0.380 0.795 0.970
H 0.493 0.306 0.538
H 0.507 0.694 0.462
H 0.620 0.205 0.030
H 0.694 0.507 0.962
H 0.748 0.987 0.694
H 0.795 0.380 0.470
H 0.987 0.748 0.194
Ru 0.256 0.744 0.250
Ru 0.431 0.569 0.750
Ru 0.569 0.431 0.250
Ru 0.744 0.256 0.750

Values from the calculation:
E in eV/cell: -90.6
Space group: No. 15
Crystal system: monoclinic



A geometry-optimized CaH3Ru structure, computed with PBE-GGA.

a b c (Å): 9.497 9.497 9.497
angles (deg): 159.08 159.08 29.76
Sites, in units of the cell vectors:
Ca 0.105 0.105 0.000
Ca 0.895 0.895 0.000
H 0.016 0.516 0.500
H 0.097 0.325 0.772
H 0.484 0.984 0.500
H 0.552 0.325 0.228
H 0.675 0.448 0.772
H 0.675 0.903 0.228
Ru 0.500 0.500 0.000
Ru 0.750 0.250 0.500

Values from the calculation:
E in eV/cell: -42.9
Space group: No. 119
Crystal system: tetragonal